(1)
Compound: CaLa2Y
Source: Alexandria
Functional: PBE-GGA
Structure: optimized geometry

Unit cell a=12.5283 b=12.5283 c=12.5283 alpha=17.01 beta=17.01 gamma=17.01
Element x y z (fractional)
Ca (0.0000, 0.0000, 0.0000)
La (0.2457, 0.2457, 0.2457)
La (0.7543, 0.7543, 0.7543)
Y (0.5000, 0.5000, 0.5000)

Computed properties:
- Offset from the most stable computed form: 0 meV per atom
- Uncorrected energy: -18.227 eV for the cell shown
- Energy relative to the elements: 23 meV/atom



(2)
Compound: Ca2LaY
Source: Alexandria
Functional: PBE-GGA
Structure: optimized geometry

Unit cell a=7.0294 b=7.0294 c=7.0294 alpha=145.94 beta=128.76 gamma=62.96
Element x y z (fractional)
Ca (0.0000, 0.0000, 0.0000)
Ca (0.7524, 0.2524, 0.5000)
La (0.2628, 0.7628, 0.5000)
Y (0.5075, 0.5075, 0.0000)

Computed properties:
- Offset from the most stable computed form: 75 meV per atom
- Uncorrected energy: -14.929 eV for the cell shown
- Energy relative to the elements: 116 meV/atom



(3)
Compound: Ca2LaY
Source: Alexandria
Functional: PBE-GGA
Structure: optimized geometry

Unit cell a=3.5968 b=6.2312 c=6.7362 alpha=90.00 beta=97.21 gamma=90.00
Element x y z (fractional)
Ca (0.2445, 0.0000, 0.2546)
Ca (0.7555, 0.0000, 0.7454)
La (0.5000, 0.5000, 0.0000)
Y (0.0000, 0.5000, 0.5000)

Computed properties:
- Offset from the most stable computed form: 79 meV per atom
- Uncorrected energy: -14.914 eV for the cell shown
- Energy relative to the elements: 120 meV/atom



(4)
Compound: Ca2LaY
Source: Alexandria
Functional: PBE-GGA
Structure: optimized geometry

Unit cell a=3.7797 b=3.7797 c=10.6788 alpha=90.00 beta=90.00 gamma=90.00
Element x y z (fractional)
Ca (0.0000, 0.0000, 0.0000)
Ca (0.5000, 0.5000, 0.2697)
La (0.0000, 0.0000, 0.5326)
Y (0.5000, 0.5000, 0.7536)

Computed properties:
- Offset from the most stable computed form: 0 meV per atom
- Uncorrected energy: -15.229 eV for the cell shown
- Energy relative to the elements: 41 meV/atom